First-principles (PBE) data for a relaxed In12Bi2Pb5 crystal, as listed in the Alexandria database.

Total magnetic moment, μB/atom: 0.000
DFT total energy, eV/atom: -3.0823
Formation energy from the elements, eV per formula unit: 0.60

Lattice parameters (Å, degrees): 5.0902 12.4125 12.4125 47.90 79.01 79.01
Sites, in units of the cell vectors:
In  0.1023  0.8990  0.8990
In  0.1998  0.5484  0.0522
In  0.1998  0.0522  0.5484
In  0.5966  0.6405  0.1638
In  0.5966  0.1638  0.6405
In  0.1036  0.4037  0.4037
In  0.8964  0.5963  0.5963
In  0.4034  0.3595  0.8362
In  0.4034  0.8362  0.3595
In  0.8002  0.4516  0.9478
In  0.8002  0.9478  0.4516
In  0.8977  0.1010  0.1010
Bi  0.0000  0.2539  0.7461
Bi  0.0000  0.7461  0.2539
Pb  0.3095  0.1920  0.1920
Pb  0.7015  0.3039  0.3039
Pb  0.5000  0.0000  0.0000
Pb  0.2985  0.6961  0.6961
Pb  0.6905  0.8080  0.8080

=====

First-principles (PBE) data for a relaxed In9BiPb2 crystal, as listed in the Alexandria database.

Total magnetic moment, μB/atom: 0.000
DFT total energy, eV/atom: -2.9778
Formation energy from the elements, eV per formula unit: 0.21

Lattice parameters (Å, degrees): 5.0158 5.0158 13.5918 90.00 90.00 90.00
Sites, in units of the cell vectors:
In  0.5000  0.5000  0.0000
In  0.5000  0.5000  0.3344
In  0.5000  0.5000  0.6656
In  0.5000  0.0000  0.1680
In  0.5000  0.0000  0.5000
In  0.5000  0.0000  0.8320
In  0.0000  0.5000  0.1680
In  0.0000  0.5000  0.5000
In  0.0000  0.5000  0.8320
Bi  0.0000  0.0000  0.0000
Pb  0.0000  0.0000  0.3345
Pb  0.0000  0.0000  0.6655

=====

First-principles (PBE) data for a relaxed In16BiPb12 crystal, as listed in the Alexandria database.

Total magnetic moment, μB/atom: 0.000
DFT total energy, eV/atom: -3.1336
Formation energy from the elements, eV per formula unit: 1.32

Lattice parameters (Å, degrees): 10.5608 10.5608 9.9731 108.07 108.07 110.16
Sites, in units of the cell vectors:
In  0.3346  0.3346  0.3467
In  0.0098  0.0098  0.0092
In  0.0021  0.0021  0.6543
In  0.3006  0.3006  0.7147
In  0.6912  0.4137  0.9966
In  0.5787  0.2724  0.5753
In  0.9915  0.6848  0.4062
In  0.0078  0.6557  0.0104
In  0.7236  0.3139  0.3205
In  0.4308  0.0108  0.6925
In  0.0108  0.4308  0.6925
In  0.3139  0.7236  0.3205
In  0.6557  0.0078  0.0104
In  0.6848  0.9915  0.4062
In  0.2724  0.5787  0.5753
In  0.4137  0.6912  0.9966
Bi  0.5816  0.5816  0.2803
Pb  0.8010  0.8010  0.1804
Pb  0.5911  0.5911  0.7946
Pb  0.3949  0.2025  0.0060
Pb  0.8202  0.6224  0.6277
Pb  0.1867  0.9920  0.3856
Pb  0.3875  0.9940  0.1936
Pb  0.1967  0.8076  0.7955
Pb  0.8076  0.1967  0.7955
Pb  0.9940  0.3875  0.1936
Pb  0.9920  0.1867  0.3856
Pb  0.6224  0.8202  0.6277
Pb  0.2025  0.3949  0.0060

=====

First-principles (PBE) data for a relaxed InBi4Pb5 crystal, as listed in the Alexandria database.

Total magnetic moment, μB/atom: 0.000
DFT total energy, eV/atom: -3.6030
Formation energy from the elements, eV per formula unit: 0.77
Distance to the lowest polymorph of the same formula, eV/atom: 0.037

Lattice parameters (Å, degrees): 6.3069 10.1307 10.5887 90.00 90.00 90.00
Sites, in units of the cell vectors:
In  0.8486  0.0000  0.0000
In  0.1514  0.5000  0.5000
Bi  0.3354  0.0000  0.8510
Bi  0.5829  0.6572  0.0000
Bi  0.5829  0.3428  0.0000
Bi  0.3354  0.0000  0.1490
Bi  0.6646  0.5000  0.3510
Bi  0.4171  0.8428  0.5000
Bi  0.4171  0.1572  0.5000
Bi  0.6646  0.5000  0.6490
Pb  0.2435  0.6804  0.7586
Pb  0.2435  0.3196  0.7586
Pb  0.0486  0.5000  0.0000
Pb  0.2435  0.6804  0.2414
Pb  0.2435  0.3196  0.2414
Pb  0.7565  0.8196  0.2586
Pb  0.7565  0.1804  0.2586
Pb  0.9514  0.0000  0.5000
Pb  0.7565  0.1804  0.7414
Pb  0.7565  0.8196  0.7414

=====

First-principles (PBE) data for a relaxed In7Bi4Pb crystal, as listed in the Alexandria database.

Total magnetic moment, μB/atom: 0.000
DFT total energy, eV/atom: -3.1098
Formation energy from the elements, eV per formula unit: 1.08

Lattice parameters (Å, degrees): 6.1367 12.3504 6.2018 96.02 60.35 75.61
Sites, in units of the cell vectors:
In  0.8500  0.8376  0.4624
In  0.1500  0.1624  0.5376
In  0.2110  0.7179  0.8601
In  0.7890  0.2821  0.1399
In  0.4005  0.4483  0.7507
In  0.5000  0.0000  0.0000
In  0.5995  0.5517  0.2493
Bi  0.6019  0.1677  0.6284
Bi  0.3981  0.8323  0.3716
Bi  0.8289  0.6164  0.7258
Bi  0.1711  0.3836  0.2742
Pb  0.0000  0.0000  0.0000

=====

First-principles (PBE) data for a relaxed In12Bi7Pb crystal, as listed in the Alexandria database.

Total magnetic moment, μB/atom: 0.000
DFT total energy, eV/atom: -3.1197
Formation energy from the elements, eV per formula unit: 1.34

Lattice parameters (Å, degrees): 9.0799 9.0799 9.0799 107.51 107.51 107.51
Sites, in units of the cell vectors:
In  0.6675  0.2339  0.3855
In  0.6145  0.3325  0.7661
In  0.9752  0.5903  0.6991
In  0.3009  0.0248  0.4097
In  0.7661  0.6145  0.3325
In  0.4097  0.3009  0.0248
In  0.5903  0.6991  0.9752
In  0.2339  0.3855  0.6675
In  0.6991  0.9752  0.5903
In  0.0248  0.4097  0.3009
In  0.3855  0.6675  0.2339
In  0.3325  0.7661  0.6145
Bi  0.3398  0.9119  0.0373
Bi  0.9627  0.6602  0.0881
Bi  0.0881  0.9627  0.6602
Bi  0.5000  0.5000  0.5000
Bi  0.9119  0.0373  0.3398
Bi  0.0373  0.3398  0.9119
Bi  0.6602  0.0881  0.9627
Pb  0.0000  0.0000  0.0000

=====

DOS at the Fermi energy
In order: 9.42; 3.37; 12.24; 7.26; 7.21; 10.98
Unit: states/eV per cell